Entry 1:
MnCr2Cl after structural relaxation, computed with PBE.

Output
Formation energy without anion corrections: 0.57 eV per atom
Polymorph energy (0 for the lowest one): 45.7 kJ/mol of atoms
Crystal system: orthorhombic
Fermi-level density of states: 2.79 states/eV per cell

abc: 3.005 4.353 4.925
angles: 90.00 90.00 90.00
Space group Pmmm (No. 47)
Unique sites:
Mn: 0.000 0.000 0.000 x1
Cr: 0.000 0.500 0.500 x1
Cr: 0.500 0.500 0.000 x1
Cl: 0.500 0.000 0.500 x1

Entry 2:
SrMnAg2 after structural relaxation, computed with PBE.

Output
Final energy: -3.87 eV/atom
Crystal system: cubic
Fermi-level density of states: 9.75 states/eV per cell

abc: 7.108 7.108 7.108
angles: 90.00 90.00 90.00
Space group F-43m (No. 216)
Unique sites:
Sr: 0.000 0.000 0.000 x4
Mn: 0.250 0.250 0.250 x4
Ag: 0.000 0.000 0.500 x4
Ag: 0.250 0.250 0.750 x4

Entry 3:
Gd2ZnCl after structural relaxation, computed with PBE.

Output
Formation energy without anion corrections: -0.79 eV per atom
Crystal system: trigonal
Fermi-level density of states: 11.13 states/eV per cell

abc: 4.0383 4.0383 20.9610
angles: 90.00 90.00 120.00
Space group R-3m (No. 166, hexagonal axes)
Unique sites:
Gd: 0.0000 0.0000 0.2492 x6
Zn: 0.0000 0.0000 0.0000 x3
Cl: 0.0000 0.0000 0.5000 x3

Entry 4:
Ca8Cd2Pb after structural relaxation, computed with PBE.

Output
Final energy: -2.19 eV/atom
Crystal system: orthorhombic
Fermi-level density of states: 12.49 states/eV per cell

abc: 5.247 8.707 16.220
angles: 90.00 90.00 90.00
Space group Immm (No. 71)
Unique sites:
Ca: 0.000 0.000 0.145 x4
Ca: 0.000 0.221 0.337 x8
Ca: 0.000 0.304 0.000 x4
Cd: 0.000 0.500 0.187 x4
Pb: 0.000 0.500 0.500 x2

Entry 5:
Sr2LiSn2P4 after structural relaxation, computed with PBE.

Output
Final energy: -4.39 eV/atom
Crystal system: monoclinic
Fermi-level density of states: 3.01 states/eV per cell

abc: 14.822 4.705 6.473
angles: 90.00 105.50 90.00
Space group C2/m (No. 12)
Unique sites:
Sr: 0.133 0.000 0.080 x4
Li: 0.000 0.000 0.500 x2
Sn: 0.151 0.500 0.526 x4
P: 0.003 0.500 0.822 x4
P: 0.214 0.000 0.698 x4

Entry 6:
NaVZn after structural relaxation, computed with PBE.

Output
Polymorph energy (0 for the lowest one): 61.1 kJ/mol of atoms
Crystal system: tetragonal
Fermi-level density of states: 8.47 states/eV per cell

abc: 4.894 4.894 6.319
angles: 90.00 90.00 90.00
Space group P4/nmm (No. 129, origin choice 2)
Unique sites:
Na: 0.250 0.250 0.130 x2
V: 0.250 0.250 0.605 x2
Zn: 0.250 0.750 0.500 x2

Number 1: size of the total moment 4.1 μB per cell. Number 2: size of the total moment 16.0 μB per cell. Number 3: size of the total moment 42.9 μB per cell. Number 4: size of the total moment 0.0 μB per cell. Number 5: size of the total moment 0.0 μB per cell. Number 6: size of the total moment 5.8 μB per cell.